<A>
A plane-wave DFT calculation with GGA-PBE was carried out for MgPd3S after structural relaxation.

The density of states at the Fermi level comes out at 0.9310 states/eV per atom. As for the crystal system: cubic. Its calculated density is 6.27 g/cm³.

The space group is Pm-3m (No. 221) and the conventional cell measures 4.633, 4.633 and 4.633 Å, with angles of 90.00, 90.00 and 90.00 degrees. The inequivalent atoms are Mg at (0.000, 0.000, 0.000), Pd at (0.000, 0.000, 0.500) and S at (0.500, 0.500, 0.500).

---

<B>
A plane-wave DFT calculation with GGA-PBE was carried out for MgPd3S after structural relaxation.

The density of states at the Fermi level comes out at 0.1872 states/eV per atom. As for the crystal system: cubic. Its calculated density is 6.80 g/cm³.

The space group is Pm-3m (No. 221) and the conventional cell measures 4.511, 4.511 and 4.511 Å, with angles of 90.00, 90.00 and 90.00 degrees. The inequivalent atoms are Mg at (0.000, 0.000, 0.000), Pd at (0.000, 0.500, 0.500) and S at (0.500, 0.500, 0.500).

---

The structure with the least stability is <A>.

---

<A>
A plane-wave DFT calculation with GGA-PBE was carried out for MgSbPd2 after structural relaxation.

The density of states at the Fermi level comes out at 0.6389 states/eV per atom. As for the crystal system: tetragonal. Its calculated density is 7.55 g/cm³.

The space group is I-42d (No. 122) and the conventional cell measures 4.192, 4.192 and 17.981 Å, with angles of 90.00, 90.00 and 90.00 degrees. The inequivalent atoms are Mg at (0.000, 0.000, 0.000), Sb at (0.000, 0.000, 0.500) and Pd at (0.243, 0.250, 0.625).

---

<B>
A plane-wave DFT calculation with GGA-PBE was carried out for MgSbPd2 after structural relaxation.

The density of states at the Fermi level comes out at 0.5343 states/eV per atom. As for the crystal system: tetragonal. Its calculated density is 8.47 g/cm³.

The space group is P4/mmm (No. 123) and the conventional cell measures 4.456, 4.456 and 3.543 Å, with angles of 90.00, 90.00 and 90.00 degrees. The inequivalent atoms are Mg at (0.000, 0.000, 0.000), Sb at (0.500, 0.500, 0.000) and Pd at (0.000, 0.500, 0.500).

---

The structure with the least stability is <A>.

---

<A>
A plane-wave DFT calculation with GGA-PBE was carried out for MgSbPd2 after structural relaxation.

The density of states at the Fermi level comes out at 0.4058 states/eV per atom. As for the crystal system: trigonal. Its calculated density is 7.66 g/cm³.

The space group is R3m (No. 160, hexagonal axes) and the conventional cell measures 4.4116, 4.4116 and 13.8437 Å, with angles of 90.00, 90.00 and 120.00 degrees. The inequivalent atoms are Mg at (0.0000, 0.0000, 0.0000), Sb at (0.0000, 0.0000, 0.7957), Pd at (0.0000, 0.0000, 0.3892) and Pd at (0.0000, 0.0000, 0.5923).

---

<B>
A plane-wave DFT calculation with GGA-PBE was carried out for MgSbPd2 after structural relaxation.

The density of states at the Fermi level comes out at 0.3800 states/eV per atom. As for the crystal system: tetragonal. Its calculated density is 8.33 g/cm³.

The space group is P4/mmm (No. 123) and the conventional cell measures 3.372, 3.372 and 6.289 Å, with angles of 90.00, 90.00 and 90.00 degrees. The inequivalent atoms are Mg at (0.000, 0.000, 0.000), Sb at (0.000, 0.000, 0.500) and Pd at (0.500, 0.500, 0.241).

---

The structure with the least stability is <A>.

---

<A>
A plane-wave DFT calculation with GGA-PBE was carried out for MgSb2Pd7 after structural relaxation.

The density of states at the Fermi level comes out at 0.2909 states/eV per atom. As for the crystal system: tetragonal. Its calculated density is 9.32 g/cm³.

The space group is I4/mmm (No. 139) and the conventional cell measures 4.062, 4.062 and 21.869 Å, with angles of 90.00, 90.00 and 90.00 degrees. The inequivalent atoms are Mg at (0.000, 0.000, 0.000), Sb at (0.000, 0.000, 0.332), Pd at (0.000, 0.000, 0.500), Pd at (0.000, 0.500, 0.090) and Pd at (0.000, 0.500, 0.250).

---

<B>
A plane-wave DFT calculation with GGA-PBE was carried out for MgSb2Pd7 after structural relaxation.

The density of states at the Fermi level comes out at 0.6508 states/eV per atom. As for the crystal system: orthorhombic. Its calculated density is 7.99 g/cm³.

The space group is Cmmm (No. 65) and the conventional cell measures 7.457, 13.245 and 4.261 Å, with angles of 90.00, 90.00 and 90.00 degrees. The inequivalent atoms are Mg at (0.000, 0.000, 0.000), Sb at (0.000, 0.305, 0.500), Pd at (0.000, 0.199, 0.000), Pd at (0.000, 0.500, 0.500) and Pd at (0.183, 0.106, 0.500).

---

The structure with the least stability is <B>.

---

<A>
A plane-wave DFT calculation with GGA-PBE was carried out for MgSbPd3 after structural relaxation.

The density of states at the Fermi level comes out at 0.4113 states/eV per atom. As for the crystal system: orthorhombic. Its calculated density is 8.19 g/cm³.

The space group is Pnma (No. 62) and the conventional cell measures 5.590, 7.829 and 8.627 Å, with angles of 90.00, 90.00 and 90.00 degrees. The inequivalent atoms are Mg at (0.038, 0.250, 0.014), Sb at (0.000, 0.000, 0.500), Pd at (0.069, 0.750, 0.296) and Pd at (0.214, 0.572, 0.763).

---

<B>
A plane-wave DFT calculation with GGA-PBE was carried out for MgSbPd3 after structural relaxation.

The density of states at the Fermi level comes out at 0.6875 states/eV per atom. As for the crystal system: cubic. Its calculated density is 6.49 g/cm³.

The space group is Pm-3m (No. 221) and the conventional cell measures 4.920, 4.920 and 4.920 Å, with angles of 90.00, 90.00 and 90.00 degrees. The inequivalent atoms are Mg at (0.000, 0.000, 0.000), Sb at (0.500, 0.500, 0.500) and Pd at (0.000, 0.500, 0.500).

---

<C>
A plane-wave DFT calculation with GGA-PBE was carried out for MgSbPd3 after structural relaxation.

The density of states at the Fermi level comes out at 0.2994 states/eV per atom. As for the crystal system: monoclinic. Its calculated density is 8.32 g/cm³.

The space group is P2/m (No. 10) and the conventional cell measures 5.519, 4.127 and 8.531 Å, with angles of 90.00, 106.99 and 90.00 degrees. The inequivalent atoms are Mg at (0.172, 0.000, 0.348), Sb at (0.405, 0.500, 0.161), Pd at (0.000, 0.500, 0.500), Pd at (0.095, 0.500, 0.850), Pd at (0.333, 0.000, 0.685) and Pd at (0.500, 0.500, 0.500).

---

The structure with the least stability is <B>.

---

<A>
A plane-wave DFT calculation with GGA-PBE was carried out for MgScPd3 after structural relaxation.

The density of states at the Fermi level comes out at 0.4069 states/eV per atom. As for the crystal system: orthorhombic. Its calculated density is 7.20 g/cm³.

The space group is Cmmm (No. 65) and the conventional cell measures 7.616, 15.580 and 3.021 Å, with angles of 90.00, 90.00 and 90.00 degrees. The inequivalent atoms are Mg at (0.227, 0.000, 0.000), Sc at (0.000, 0.275, 0.000), Pd at (0.000, 0.417, 0.500) and Pd at (0.184, 0.158, 0.500).

---

<B>
A plane-wave DFT calculation with GGA-PBE was carried out for MgScPd3 after structural relaxation.

The density of states at the Fermi level comes out at 1.0637 states/eV per atom. As for the crystal system: cubic. Its calculated density is 6.63 g/cm³.

The space group is Pm-3m (No. 221) and the conventional cell measures 4.600, 4.600 and 4.600 Å, with angles of 90.00, 90.00 and 90.00 degrees. The inequivalent atoms are Mg at (0.000, 0.000, 0.000), Sc at (0.500, 0.500, 0.500) and Pd at (0.000, 0.000, 0.500).

---

<C>
A plane-wave DFT calculation with GGA-PBE was carried out for MgScPd3 after structural relaxation.

The density of states at the Fermi level comes out at 0.4165 states/eV per atom. As for the crystal system: cubic. Its calculated density is 5.93 g/cm³.

The space group is Pm-3m (No. 221) and the conventional cell measures 4.775, 4.775 and 4.775 Å, with angles of 90.00, 90.00 and 90.00 degrees. The inequivalent atoms are Mg at (0.000, 0.000, 0.000), Sc at (0.500, 0.500, 0.500) and Pd at (0.000, 0.500, 0.500).

---

The structure with the least stability is <C>.

---

<A>
A plane-wave DFT calculation with GGA-PBE was carried out for Mg3ScPd2 after structural relaxation.

The density of states at the Fermi level comes out at 0.6641 states/eV per atom. As for the crystal system: orthorhombic. Its calculated density is 4.78 g/cm³.

The space group is Pmc2_1 (No. 26) and the conventional cell measures 3.974, 8.456 and 6.843 Å, with angles of 90.00, 90.00 and 90.00 degrees. The inequivalent atoms are Mg at (0.000, 0.081, 0.000), Mg at (0.000, 0.305, 0.396), Mg at (0.500, 0.186, 0.682), Sc at (0.500, 0.418, 0.070), Pd at (0.000, 0.392, 0.784) and Pd at (0.500, 0.117, 0.287).

---

<B>
A plane-wave DFT calculation with GGA-PBE was carried out for Mg3ScPd2 after structural relaxation.

The density of states at the Fermi level comes out at 0.5715 states/eV per atom. As for the crystal system: monoclinic. Its calculated density is 4.61 g/cm³.

The space group is C2/m (No. 12) and the conventional cell measures 15.228, 3.985 and 8.687 Å, with angles of 90.00, 115.45 and 90.00 degrees. The inequivalent atoms are Mg at (0.037, 0.000, 0.182), Mg at (0.161, 0.500, 0.987), Mg at (0.180, 0.500, 0.392), Sc at (0.118, 0.000, 0.630), Pd at (0.007, 0.500, 0.661) and Pd at (0.239, 0.000, 0.240).

---

The structure with the least stability is <B>.

---

<A>
A plane-wave DFT calculation with GGA-PBE was carried out for Mg3SiPd after structural relaxation.

The density of states at the Fermi level comes out at 0.5729 states/eV per atom. As for the crystal system: cubic. Its calculated density is 2.92 g/cm³.

The space group is Pm-3m (No. 221) and the conventional cell measures 4.906, 4.906 and 4.906 Å, with angles of 90.00, 90.00 and 90.00 degrees. The inequivalent atoms are Mg at (0.000, 0.000, 0.500), Si at (0.500, 0.500, 0.500) and Pd at (0.000, 0.000, 0.000).

---

<B>
A plane-wave DFT calculation with GGA-PBE was carried out for Mg3SiPd after structural relaxation.

The density of states at the Fermi level comes out at 0.2907 states/eV per atom. As for the crystal system: cubic. Its calculated density is 2.92 g/cm³.

The space group is Pm-3m (No. 221) and the conventional cell measures 4.906, 4.906 and 4.906 Å, with angles of 90.00, 90.00 and 90.00 degrees. The inequivalent atoms are Mg at (0.000, 0.000, 0.500), Si at (0.000, 0.000, 0.000) and Pd at (0.500, 0.500, 0.500).

---

The structure with the least stability is <B>.